NaAcGeN2 | PBE | relaxed

a b c (Å): 6.0023 4.4044 6.9211
angles (deg): 90.00 100.24 90.00
Fractional coordinates of all 10 atoms:
Na 0.0000 0.0180 0.2500
Na 0.0000 0.9820 0.7500
Ac 0.5000 0.2663 0.7500
Ac 0.5000 0.7337 0.2500
Ge 0.0000 0.5000 0.0000
Ge 0.0000 0.5000 0.5000
N 0.2717 0.2528 0.0504
N 0.2717 0.7472 0.5504
N 0.7283 0.2528 0.4496
N 0.7283 0.7472 0.9496

Results
Energy, hartree per atom: -0.1994

Ac2Nb2Ge2N | PBE | relaxed

a b c (Å): 8.9454 8.9454 8.9454
angles (deg): 152.00 152.00 40.01
Fractional coordinates of all 7 atoms:
Ac 0.1679 0.1679 0.0000
Ac 0.8321 0.8321 0.0000
Nb 0.0000 0.5000 0.5000
Nb 0.5000 0.0000 0.5000
Ge 0.3887 0.3887 0.0000
Ge 0.6113 0.6113 0.0000
N 0.0000 0.0000 0.0000

Results
Energy, hartree per atom: -0.2685

Ac2NdGeN4 | PBE | relaxed

a b c (Å): 6.3024 6.3024 12.7997
angles (deg): 90.00 90.00 145.19
Fractional coordinates of all 16 atoms:
Ac 0.1317 0.8683 0.5484
Ac 0.1317 0.8683 0.9516
Ac 0.8683 0.1317 0.0484
Ac 0.8683 0.1317 0.4516
Nd 0.3958 0.6042 0.7500
Nd 0.6042 0.3958 0.2500
Ge 0.3275 0.6725 0.2500
Ge 0.6725 0.3275 0.7500
N 0.0857 0.9143 0.7500
N 0.2191 0.7809 0.1400
N 0.2191 0.7809 0.3600
N 0.5000 0.5000 0.0000
N 0.5000 0.5000 0.5000
N 0.7809 0.2191 0.6400
N 0.7809 0.2191 0.8600
N 0.9143 0.0857 0.2500

Results
Energy, hartree per atom: -0.2606

AcNd2GeN4 | PBE | relaxed

a b c (Å): 6.2845 6.2845 12.1030
angles (deg): 90.00 90.00 145.67
Fractional coordinates of all 16 atoms:
Ac 0.0975 0.9025 0.7500
Ac 0.9025 0.0975 0.2500
Nd 0.3691 0.6309 0.5446
Nd 0.3691 0.6309 0.9554
Nd 0.6309 0.3691 0.0446
Nd 0.6309 0.3691 0.4554
Ge 0.1688 0.8312 0.2500
Ge 0.8312 0.1688 0.7500
N 0.0000 0.0000 0.0000
N 0.0000 0.0000 0.5000
N 0.2713 0.7287 0.1297
N 0.2713 0.7287 0.3703
N 0.4122 0.5878 0.7500
N 0.5878 0.4122 0.2500
N 0.7287 0.2713 0.6297
N 0.7287 0.2713 0.8703

Results
Energy, hartree per atom: -0.2713

Ac2Nd2Ge2N | PBE | relaxed

a b c (Å): 9.0096 9.0096 9.0096
angles (deg): 148.53 148.53 45.11
Fractional coordinates of all 7 atoms:
Ac 0.1714 0.1714 0.0000
Ac 0.8286 0.8286 0.0000
Nd 0.0000 0.5000 0.5000
Nd 0.5000 0.0000 0.5000
Ge 0.3691 0.3691 0.0000
Ge 0.6309 0.6309 0.0000
N 0.0000 0.0000 0.0000

Results
Energy, hartree per atom: -0.2174

AcNiGeN | PBE | relaxed

a b c (Å): 3.9861 3.9861 8.7564
angles (deg): 90.00 90.00 90.00
Fractional coordinates of all 8 atoms:
Ac 0.2500 0.2500 0.1605
Ac 0.7500 0.7500 0.8395
Ni 0.2500 0.7500 0.5000
Ni 0.7500 0.2500 0.5000
Ge 0.2500 0.2500 0.6456
Ge 0.7500 0.7500 0.3544
N 0.2500 0.2500 0.8693
N 0.7500 0.7500 0.1307

Results
Energy, hartree per atom: -0.2386

AcNi2GeN | PBE | relaxed

a b c (Å): 6.0602 6.0602 7.1414
angles (deg): 90.00 90.00 143.25
Fractional coordinates of all 10 atoms:
Ac 0.0429 0.9571 0.7500
Ac 0.9571 0.0429 0.2500
Ni 0.3328 0.6672 0.5541
Ni 0.3328 0.6672 0.9459
Ni 0.6672 0.3328 0.0541
Ni 0.6672 0.3328 0.4459
Ge 0.2289 0.7711 0.2500
Ge 0.7711 0.2289 0.7500
N 0.5000 0.5000 0.0000
N 0.5000 0.5000 0.5000

Results
Energy, hartree per atom: -0.2317

Ac5NiGe2N | PBE | relaxed

a b c (Å): 9.5740 9.5740 12.8553
angles (deg): 90.00 90.00 152.26
Fractional coordinates of all 18 atoms:
Ac 0.0136 0.9864 0.5000
Ac 0.1566 0.8434 0.7452
Ac 0.1708 0.8292 0.1179
Ac 0.2191 0.7809 0.4245
Ac 0.4729 0.5271 0.7432
Ac 0.5271 0.4729 0.2432
Ac 0.7809 0.2191 0.9245
Ac 0.8292 0.1708 0.6179
Ac 0.8434 0.1566 0.2452
Ac 0.9864 0.0136 0.0000
Ni 0.3090 0.6910 0.7796
Ni 0.6910 0.3090 0.2796
Ge 0.3674 0.6326 0.0651
Ge 0.3935 0.6065 0.4238
Ge 0.6065 0.3935 0.9238
Ge 0.6326 0.3674 0.5651
N 0.0388 0.9612 0.1673
N 0.9612 0.0388 0.6673

Results
Energy, hartree per atom: -0.2019

What is the formula in the third record?
Ac2NdGeN4